A plane-wave DFT calculation with SCAN was carried out for a PBEsol-optimized structure of SrCoB3.

space-group type	Pm-3m
energy of formation from the pure elements	3.298	eV per atom

a = 4.5396 Å, b = 4.5396 Å, c = 4.5396 Å
α = 90.00°, β = 90.00°, γ = 90.00°
Fractional positions:
Sr1 0.0000 0.0000 0.0000
Co1 0.5000 0.5000 0.5000
B1 0.0000 0.0000 0.5000
B2 0.0000 0.5000 0.0000
B3 0.5000 0.0000 0.0000

---

A plane-wave DFT calculation with SCAN was carried out for a PBEsol-optimized structure of TaCo2B2.

space-group type	P4/mbm
energy of formation from the pure elements	-0.004	eV per atom

a = 6.1394 Å, b = 6.1394 Å, c = 2.5397 Å
α = 90.00°, β = 90.00°, γ = 90.00°
Fractional positions:
Ta1 0.0000 0.0000 0.0000
Ta2 0.5000 0.5000 0.0000
Co1 0.1471 0.3529 0.5000
Co2 0.3529 0.8529 0.5000
Co3 0.6471 0.1471 0.5000
Co4 0.8529 0.6471 0.5000
B1 0.1358 0.6358 0.0000
B2 0.3642 0.1358 0.0000
B3 0.6358 0.8642 0.0000
B4 0.8642 0.3642 0.0000

---

A plane-wave DFT calculation with SCAN was carried out for a PBEsol-optimized structure of TbCo3B2.

space-group type	P6/mmm
energy of formation from the pure elements	-0.430	eV per atom

a = 4.9464 Å, b = 4.9464 Å, c = 2.9802 Å
α = 90.00°, β = 90.00°, γ = 120.00°
Fractional positions:
Tb1 0.0000 0.0000 0.0000
Co1 0.0000 0.5000 0.5000
Co2 0.5000 0.0000 0.5000
Co3 0.5000 0.5000 0.5000
B1 0.3333 0.6667 0.0000
B2 0.6667 0.3333 0.0000

---

A plane-wave DFT calculation with SCAN was carried out for a PBEsol-optimized structure of TbCo4B.

space-group type	P6/mmm
energy of formation from the pure elements	-0.219	eV per atom

a = 4.9261 Å, b = 4.9261 Å, c = 6.7510 Å
α = 90.00°, β = 90.00°, γ = 120.00°
Fractional positions:
Tb1 0.0000 0.0000 0.0000
Tb2 0.0000 0.0000 0.5000
Co1 0.0000 0.5000 0.2137
Co2 0.0000 0.5000 0.7863
Co3 0.3333 0.6667 0.5000
Co4 0.5000 0.0000 0.2137
Co5 0.5000 0.0000 0.7863
Co6 0.5000 0.5000 0.2137
Co7 0.5000 0.5000 0.7863
Co8 0.6667 0.3333 0.5000
B1 0.3333 0.6667 0.0000
B2 0.6667 0.3333 0.0000

---

A plane-wave DFT calculation with SCAN was carried out for a PBEsol-optimized structure of Ti2Co21B6.

space-group type	Fm-3m
energy of formation from the pure elements	-0.228	eV per atom

a = 7.2886 Å, b = 7.2886 Å, c = 7.2886 Å
α = 60.00°, β = 60.00°, γ = 60.00°
Fractional positions:
Ti1 0.2500 0.2500 0.2500
Ti2 0.7500 0.7500 0.7500
Co1 0.0000 0.0000 0.0000
Co2 0.0000 0.0000 0.3380
Co3 0.0000 0.0000 0.6620
Co4 0.0000 0.3380 0.0000
Co5 0.0000 0.3380 0.6620
Co6 0.0000 0.6620 0.0000
Co7 0.0000 0.6620 0.3380
Co8 0.1463 0.6179 0.6179
Co9 0.3380 0.0000 0.0000
Co10 0.3380 0.0000 0.6620
Co11 0.3380 0.6620 0.0000
Co12 0.3821 0.3821 0.3821
Co13 0.3821 0.3821 0.8537
Co14 0.3821 0.8537 0.3821
Co15 0.6179 0.1463 0.6179
Co16 0.6179 0.6179 0.1463
Co17 0.6179 0.6179 0.6179
Co18 0.6620 0.0000 0.0000
Co19 0.6620 0.0000 0.3380
Co20 0.6620 0.3380 0.0000
Co21 0.8537 0.3821 0.3821
B1 0.2746 0.2746 0.7254
B2 0.2746 0.7254 0.2746
B3 0.2746 0.7254 0.7254
B4 0.7254 0.2746 0.2746
B5 0.7254 0.2746 0.7254
B6 0.7254 0.7254 0.2746

---

A plane-wave DFT calculation with SCAN was carried out for a PBEsol-optimized structure of Ti2CoB.

space-group type	I-42d
energy of formation from the pure elements	0.069	eV per atom

a = 5.7812 Å, b = 5.7812 Å, c = 5.7812 Å
α = 95.94°, β = 95.94°, γ = 142.48°
Fractional positions:
Ti1 0.3750 0.0191 0.1441
Ti2 0.7691 0.6250 0.6441
Ti3 0.8750 0.2309 0.8559
Ti4 0.9809 0.1250 0.3559
Co1 0.2500 0.7500 0.5000
Co2 0.5000 0.5000 0.0000
B1 0.0000 0.0000 0.0000
B2 0.7500 0.2500 0.5000

---

A plane-wave DFT calculation with SCAN was carried out for a PBEsol-optimized structure of YTiCo2B.

space-group type	P4/mmm
energy of formation from the pure elements	0.318	eV per atom

a = 3.8677 Å, b = 3.8677 Å, c = 4.6391 Å
α = 90.00°, β = 90.00°, γ = 90.00°
Fractional positions:
Y1 0.0000 0.0000 0.0000
Ti1 0.5000 0.5000 0.0000
Co1 0.0000 0.5000 0.5000
Co2 0.5000 0.0000 0.5000
B1 0.0000 0.0000 0.5000

---

A plane-wave DFT calculation with SCAN was carried out for a PBEsol-optimized structure of TlCoB2.

space-group type	Fm-3m
energy of formation from the pure elements	1.752	eV per atom

a = 4.0011 Å, b = 4.0011 Å, c = 4.0011 Å
α = 60.00°, β = 60.00°, γ = 60.00°
Fractional positions:
Tl1 0.0000 0.0000 0.0000
Co1 0.5000 0.5000 0.5000
B1 0.2500 0.2500 0.2500
B2 0.7500 0.7500 0.7500

---

A plane-wave DFT calculation with SCAN was carried out for a PBEsol-optimized structure of Tm4CoB13.

space-group type	P4/mnc
energy of formation from the pure elements	-0.573	eV per atom

a = 7.2146 Å, b = 7.2146 Å, c = 6.7068 Å
α = 90.00°, β = 90.00°, γ = 90.00°
Fractional positions:
Tm1 0.1821 0.3151 0.0000
Tm2 0.1849 0.3179 0.5000
Tm3 0.3151 0.8179 0.0000
Tm4 0.3179 0.8151 0.5000
Tm5 0.6821 0.1849 0.5000
Tm6 0.6849 0.1821 0.0000
Tm7 0.8151 0.6821 0.5000
Tm8 0.8179 0.6849 0.0000
Co1 0.0000 0.0000 0.5000
Co2 0.5000 0.5000 0.0000
B1 0.0000 0.0000 0.0000
B2 0.0392 0.8295 0.2459
B3 0.0392 0.8295 0.7541
B4 0.0900 0.5900 0.2500
B5 0.0900 0.5900 0.7500
B6 0.1705 0.0392 0.2459
B7 0.1705 0.0392 0.7541
B8 0.3295 0.5392 0.2541
B9 0.3295 0.5392 0.7459
B10 0.4100 0.0900 0.2500
B11 0.4100 0.0900 0.7500
B12 0.4608 0.3295 0.2541
B13 0.4608 0.3295 0.7459
B14 0.5000 0.5000 0.5000
B15 0.5392 0.6705 0.2541
B16 0.5392 0.6705 0.7459
B17 0.5900 0.9100 0.2500
B18 0.5900 0.9100 0.7500
B19 0.6705 0.4608 0.2541
B20 0.6705 0.4608 0.7459
B21 0.8295 0.9608 0.2459
B22 0.8295 0.9608 0.7541
B23 0.9100 0.4100 0.2500
B24 0.9100 0.4100 0.7500
B25 0.9608 0.1705 0.2459
B26 0.9608 0.1705 0.7541

---

A plane-wave DFT calculation with SCAN was carried out for a PBEsol-optimized structure of TmCo12B6.

space-group type	R-3m
energy of formation from the pure elements	-0.259	eV per atom

a = 5.8676 Å, b = 5.8676 Å, c = 5.8676 Å
α = 104.05°, β = 104.05°, γ = 104.05°
Fractional positions:
Tm1 0.0000 0.0000 0.0000
Co1 0.1318 0.5000 0.8682
Co2 0.1318 0.8682 0.5000
Co3 0.1856 0.4544 0.4544
Co4 0.4544 0.1856 0.4544
Co5 0.4544 0.4544 0.1855
Co6 0.5000 0.1318 0.8682
Co7 0.5000 0.8682 0.1318
Co8 0.5456 0.5456 0.8144
Co9 0.5456 0.8144 0.5456
Co10 0.8145 0.5456 0.5456
Co11 0.8682 0.1318 0.5000
Co12 0.8682 0.5000 0.1318
B1 0.2338 0.2338 0.6811
B2 0.2338 0.6811 0.2338
B3 0.3189 0.7662 0.7662
B4 0.6811 0.2338 0.2338
B5 0.7662 0.3189 0.7662
B6 0.7662 0.7662 0.3189

---

A plane-wave DFT calculation with SCAN was carried out for a PBEsol-optimized structure of U2Co21B6.

space-group type	Fm-3m
energy of formation from the pure elements	-0.178	eV per atom

a = 7.3839 Å, b = 7.3839 Å, c = 7.3839 Å
α = 60.00°, β = 60.00°, γ = 60.00°
Fractional positions:
U1 0.2500 0.2500 0.2500
U2 0.7500 0.7500 0.7500
Co1 0.0000 0.0000 0.0000
Co2 0.0000 0.0000 0.3359
Co3 0.0000 0.0000 0.6641
Co4 0.0000 0.3359 0.0000
Co5 0.0000 0.3359 0.6641
Co6 0.0000 0.6641 0.0000
Co7 0.0000 0.6641 0.3359
Co8 0.1477 0.6174 0.6174
Co9 0.3359 0.0000 0.0000
Co10 0.3359 0.0000 0.6641
Co11 0.3359 0.6641 0.0000
Co12 0.3826 0.3826 0.3826
Co13 0.3826 0.3826 0.8523
Co14 0.3826 0.8523 0.3826
Co15 0.6174 0.1477 0.6174
Co16 0.6174 0.6174 0.1477
Co17 0.6174 0.6174 0.6174
Co18 0.6641 0.0000 0.0000
Co19 0.6641 0.0000 0.3359
Co20 0.6641 0.3359 0.0000
Co21 0.8523 0.3826 0.3826
B1 0.2739 0.2739 0.7261
B2 0.2739 0.7261 0.2739
B3 0.2739 0.7261 0.7261
B4 0.7261 0.2739 0.2739
B5 0.7261 0.2739 0.7261
B6 0.7261 0.7261 0.2739

---

A plane-wave DFT calculation with SCAN was carried out for a PBEsol-optimized structure of CoBW.

space-group type	Pnma
energy of formation from the pure elements	-0.341	eV per atom

a = 5.6780 Å, b = 3.2271 Å, c = 6.5574 Å
α = 90.00°, β = 90.00°, γ = 90.00°
Fractional positions:
Co1 0.1427 0.2500 0.0580
Co2 0.3573 0.7500 0.5580
Co3 0.6427 0.2500 0.4420
Co4 0.8573 0.7500 0.9420
B1 0.2300 0.7500 0.8748
B2 0.2700 0.2500 0.3748
B3 0.7300 0.7500 0.6252
B4 0.7700 0.2500 0.1252
W1 0.0275 0.2500 0.6751
W2 0.4725 0.7500 0.1751
W3 0.5275 0.2500 0.8249
W4 0.9725 0.7500 0.3249

---

Which value of energy of formation from the pure elements does entry 12 give?
-0.341 eV per atom

---

Which of these has the highest energy of formation from the pure elements?
SrCoB3

---

Which value of energy of formation from the pure elements does entry 4 give?
-0.219 eV per atom